Record 1
The following is a PBE calculation of a relaxed structure of PaHIrRu2, from Alexandria.

VASP energy	-8.55	eV per atom
D(E_F)	2.3	states/eV per cell

Lattice parameters (Å, degrees): 4.128 4.128 4.035 90.00 90.00 90.00
Space group P4/mmm (No. 123)
Inequivalent atoms, fractional coordinates:
Pa 0.000 0.000 0.000 x1
H 0.500 0.500 0.500 x1
Ir 0.500 0.500 0.000 x1
Ru 0.000 0.500 0.500 x2

***

Record 2
The following is a PBE calculation of a relaxed structure of PaZnPbO6, from Alexandria.

VASP energy	-6.74	eV per atom
D(E_F)	7.8	states/eV per cell
formation energy from raw total energies	-16.40	eV/f.u.

Lattice parameters (Å, degrees): 5.3920 5.3920 4.8676 90.00 90.00 120.00
Space group P312 (No. 149)
Inequivalent atoms, fractional coordinates:
Pa 0.0000 0.0000 0.0000 x1
Zn 0.6667 0.3333 0.5000 x1
Pb 0.3333 0.6667 0.5000 x1
O 0.3375 0.0117 0.7416 x6